Entry 1:
# DyTlCo

DyTlCo after structural relaxation (PBE, Alexandria via LeMat-Bulk).

Unit cell a=6.701 b=3.874 c=11.253 alpha=90.00 beta=101.31 gamma=90.00
Space group Cm (No. 8)
Asymmetric unit:
Dy  0.000  0.000  0.000 x2
Dy  0.110  0.000  0.328 x2
Tl  0.090  0.500  0.770 x2
Tl  0.352  0.500  0.558 x2
Co  0.221  0.500  0.164 x2
Co  0.388  0.000  0.164 x2

Output
Formation energy from the elements in meV/atom: -231
Total DFT energy (no corrections) in eV/atom: -4.9228

Entry 2:
# Pr5Si2Ag2

Pr5Si2Ag2 after structural relaxation (PBE, Alexandria via LeMat-Bulk).

Unit cell a=16.293 b=7.860 c=7.812 alpha=90.00 beta=90.00 gamma=90.00
Space group Cmce (No. 64)
Asymmetric unit:
Pr  0.000  0.000  0.000 x4
Pr  0.130  0.182  0.321 x16
Si  0.000  0.113  0.613 x8
Ag  0.215  0.000  0.000 x8

Output
Total DFT energy (no corrections) in eV/atom: -4.9121
E_form (uncorrected) in meV per atom: -418

Entry 3:
# LiNdAgPd

LiNdAgPd after structural relaxation (PBE, Alexandria via LeMat-Bulk).

Unit cell a=4.4744 b=4.4744 c=14.6957 alpha=90.00 beta=90.00 gamma=120.00
Space group R3m (No. 160, hexagonal axes)
Asymmetric unit:
Li  0.0000  0.0000  0.0000 x3
Nd  0.0000  0.0000  0.5098 x3
Ag  0.0000  0.0000  0.7201 x3
Pd  0.0000  0.0000  0.2932 x3

Output
Energy above the lowest structure with this stoichiometry in meV per atom: 0.0
Formation energy from the elements in meV/atom: -433
Total DFT energy (no corrections) in eV/atom: -4.1143

The lowest total DFT energy (no corrections) belongs to which entry? DyTlCo